# PBE-GGA Ac3ErTl4, optimized geometry
# DOS at the Fermi energy (states/eV/atom): 0.7988
# Theoretical density (g/cm³): 9.2
# V (Å³ per atom): 37.7
# Calculated formation energy (eV/atom): -0.171
# Distance to the lowest polymorph of the same formula (meV/atom): 169
# Total DFT energy (no corrections) (eV for the cell shown): -55.43
data_Ac3ErTl4
_chemical_formula_sum 'Ac6 Er2 Tl8'
_space_group_name_H-M_alt 'I m m m'
_space_group_IT_number 71
_space_group_name_Hall '-I 2 2'
_cell_length_a 4.8572
_cell_length_b 7.8218
_cell_length_c 15.8644
_cell_angle_alpha 90.00
_cell_angle_beta 90.00
_cell_angle_gamma 90.00
loop_
_atom_site_label
_atom_site_fract_x
_atom_site_fract_y
_atom_site_fract_z
Ac1 0.0000 0.0000 0.0000
Ac2 0.0000 0.5000 0.1881
Er1 0.0000 0.0000 0.5000
Tl1 0.0000 0.2974 0.3780